AlRuI2: optimized geometry, PBE-GGA.

abc: 5.2104 5.2104 5.2104
angles: 60.00 60.00 60.00
Last column: nearest neighbours and their distance in Å.
Fractional positions:
Al 0.0000 0.0000 0.0000  8 I 3.19
Ru 0.5000 0.5000 0.5000  8 I 3.19
I 0.2500 0.2500 0.2500  4 Ru 3.19, 4 Al 3.19
I 0.7500 0.7500 0.7500  4 Ru 3.19, 4 Al 3.19

Calculated values
ΔE_f (raw)	792	meV per atom
energy above the most stable polymorph in this dataset	3.06	kcal/mol of atoms
magnetization	3.00	μB per formula unit